DFT (PBE-GGA) results for an optimized crystal structure of GaBP2Pb.

Cell lengths 5.3532, 4.5488, 5.3532 Å; angles 90.00, 90.00, 90.00 degrees
Last column: nearest neighbours and their distance in Å.
Element x y z (fractional)
1 P 0.5000 0.0000 0.0000  2 Pb 2.68
2 P 0.0000 0.0000 0.5000  2 Pb 2.68
3 Pb 0.0000 0.0000 0.0000  2 B 2.27
4 B 0.0000 0.5000 0.0000  2 Pb 2.27
5 Ga 0.5000 0.5000 0.5000  8 P 3.51, 4 B 3.79

DFT total energy: -16.13 eV/cell
ΔH_f (0 K): 1.62 eV per atom